[1]
Below is a relaxed LaNiAs2 crystal, with properties calculated at the PBE level.

## Properties
**Crystal system**: orthorhombic
**E**: -5.509 eV/atom
**Energy of formation**: -0.507 eV/atom
**Total magnetic moment**: 0.00 μB per formula unit

Geometry as CIF:
```
data_LaNiAs2
_chemical_formula_sum 'La2 Ni2 As4'
_cell_length_a 4.0393
_cell_length_b 6.1624
_cell_length_c 6.8446
_cell_angle_alpha 90.00
_cell_angle_beta 90.00
_cell_angle_gamma 90.00
_symmetry_space_group_name_H-M 'C m m m'
_symmetry_Int_Tables_number 65
_symmetry_space_group_name_Hall '-C 2 2'
loop_
_atom_site_label
_atom_site_fract_x
_atom_site_fract_y
_atom_site_fract_z
_atom_site_occupancy
La1 0.0000 0.0000 0.0000 1
Ni1 0.0000 0.0000 0.5000 1
As1 0.0000 0.5000 0.3083 1
```

[2]
Below is a relaxed CoGe3Br crystal, with properties calculated at the PBE level.

## Properties
**Crystal system**: cubic
**E**: -3.078 eV/atom
**Polymorph energy (0 for the lowest one)**: 1.390 eV per atom
**E_form (uncorrected)**: 1.449 eV/atom
**Total magnetic moment**: 2.01 μB per formula unit

Geometry as CIF:
```
data_CoGe3Br
_chemical_formula_sum 'Co1 Ge3 Br1'
_cell_length_a 5.1220
_cell_length_b 5.1220
_cell_length_c 5.1220
_cell_angle_alpha 90.00
_cell_angle_beta 90.00
_cell_angle_gamma 90.00
_symmetry_space_group_name_H-M 'P m -3 m'
_symmetry_Int_Tables_number 221
_symmetry_space_group_name_Hall '-P 4 2 3'
loop_
_atom_site_label
_atom_site_fract_x
_atom_site_fract_y
_atom_site_fract_z
_atom_site_occupancy
Co1 0.0000 0.0000 0.0000 1
Ge1 0.0000 0.5000 0.5000 1
Br1 0.5000 0.5000 0.5000 1
```

[3]
Below is a relaxed Sm2Ga3Cu12Ni crystal, with properties calculated at the PBE level.

## Properties
**Crystal system**: trigonal
**E**: -4.013 eV/atom
**Energy of formation**: 0.068 eV/atom
**Total magnetic moment**: 0.00 μB per formula unit

Geometry as CIF:
```
data_Sm2Ga3Cu12Ni
_chemical_formula_sum 'Sm6 Ga9 Cu36 Ni3'
_cell_length_a 5.4550
_cell_length_b 5.4550
_cell_length_c 33.0508
_cell_angle_alpha 90.00
_cell_angle_beta 90.00
_cell_angle_gamma 120.00
_symmetry_space_group_name_H-M 'R -3 m'
_symmetry_Int_Tables_number 166
_symmetry_space_group_name_Hall '-R 3 2"'
loop_
_atom_site_label
_atom_site_fract_x
_atom_site_fract_y
_atom_site_fract_z
_atom_site_occupancy
Sm1 0.0000 0.0000 0.1435 1
Ga1 0.0000 0.5000 0.0000 1
Cu1 0.0115 0.5057 0.1091 1
Cu2 0.0310 0.5155 0.6111 1
Ni1 0.0000 0.0000 0.5000 1
```

[4]
Below is a relaxed PrPaAu crystal, with properties calculated at the PBE level.

## Properties
**Crystal system**: trigonal
**E**: -5.887 eV/atom
**Polymorph energy (0 for the lowest one)**: 0.000 eV per atom
**Energy of formation**: -0.036 eV/atom
**Total magnetic moment**: 0.00 μB per formula unit

Geometry as CIF:
```
data_PrPaAu
_chemical_formula_sum 'Pr2 Pa2 Au2'
_cell_length_a 5.0446
_cell_length_b 5.0446
_cell_length_c 7.0474
_cell_angle_alpha 90.00
_cell_angle_beta 90.00
_cell_angle_gamma 120.00
_symmetry_space_group_name_H-M 'P -3 m 1'
_symmetry_Int_Tables_number 164
_symmetry_space_group_name_Hall '-P 3 2"'
loop_
_atom_site_label
_atom_site_fract_x
_atom_site_fract_y
_atom_site_fract_z
_atom_site_occupancy
Pr1 0.0000 0.0000 0.2253 1
Pa1 0.3333 0.6667 0.4999 1
Au1 0.3333 0.6667 0.9985 1
```

[5]
Below is a relaxed Ce2InPd9 crystal, with properties calculated at the PBE level.

## Properties
**Crystal system**: trigonal
**E**: -5.603 eV/atom
**Polymorph energy (0 for the lowest one)**: 0.223 eV per atom
**Energy of formation**: -0.492 eV/atom
**Total magnetic moment**: 1.30 μB per formula unit

Geometry as CIF:
```
data_Ce2InPd9
_chemical_formula_sum 'Ce6 In3 Pd27'
_cell_length_a 5.3605
_cell_length_b 5.3605
_cell_length_c 27.1377
_cell_angle_alpha 90.00
_cell_angle_beta 90.00
_cell_angle_gamma 120.00
_symmetry_space_group_name_H-M 'R -3 m'
_symmetry_Int_Tables_number 166
_symmetry_space_group_name_Hall '-R 3 2"'
loop_
_atom_site_label
_atom_site_fract_x
_atom_site_fract_y
_atom_site_fract_z
_atom_site_occupancy
Ce1 0.0000 0.0000 0.1351 1
In1 0.0000 0.0000 0.0000 1
Pd1 0.0000 0.0000 0.3332 1
Pd2 0.0000 0.0000 0.5000 1
Pd3 0.0029 0.5014 0.9148 1
```

[6]
Below is a relaxed Hf2SnTe crystal, with properties calculated at the PBE level.

## Properties
**Crystal system**: cubic
**E**: -6.989 eV/atom
**Polymorph energy (0 for the lowest one)**: 0.139 eV per atom
**E_form (uncorrected)**: -0.226 eV/atom
**Total magnetic moment**: 0.00 μB per formula unit

Geometry as CIF:
```
data_Hf2SnTe
_chemical_formula_sum 'Hf8 Sn4 Te4'
_cell_length_a 7.1006
_cell_length_b 7.1006
_cell_length_c 7.1006
_cell_angle_alpha 90.00
_cell_angle_beta 90.00
_cell_angle_gamma 90.00
_symmetry_space_group_name_H-M 'F m -3 m'
_symmetry_Int_Tables_number 225
_symmetry_space_group_name_Hall '-F 4 2 3'
loop_
_atom_site_label
_atom_site_fract_x
_atom_site_fract_y
_atom_site_fract_z
_atom_site_occupancy
Hf1 0.2500 0.2500 0.2500 1
Sn1 0.0000 0.0000 0.0000 1
Te1 0.0000 0.0000 0.5000 1
```

Which value of total magnetic moment does entry 1 give? 0.00 μB per formula unit

Repeat the third record exactly.
Below is a relaxed Sm2Ga3Cu12Ni crystal, with properties calculated at the PBE level.

## Properties
**Crystal system**: trigonal
**E**: -4.013 eV/atom
**Energy of formation**: 0.068 eV/atom
**Total magnetic moment**: 0.00 μB per formula unit

Geometry as CIF:
```
data_Sm2Ga3Cu12Ni
_chemical_formula_sum 'Sm6 Ga9 Cu36 Ni3'
_cell_length_a 5.4550
_cell_length_b 5.4550
_cell_length_c 33.0508
_cell_angle_alpha 90.00
_cell_angle_beta 90.00
_cell_angle_gamma 120.00
_symmetry_space_group_name_H-M 'R -3 m'
_symmetry_Int_Tables_number 166
_symmetry_space_group_name_Hall '-R 3 2"'
loop_
_atom_site_label
_atom_site_fract_x
_atom_site_fract_y
_atom_site_fract_z
_atom_site_occupancy
Sm1 0.0000 0.0000 0.1435 1
Ga1 0.0000 0.5000 0.0000 1
Cu1 0.0115 0.5057 0.1091 1
Cu2 0.0310 0.5155 0.6111 1
Ni1 0.0000 0.0000 0.5000 1
```

What is the formula in the first record? LaNiAs2